Entry 1:
{
  "formula": "VAgO2",
  "functional": "PBE+U",
  "state": "optimized geometry",
  "crystal_system": "monoclinic",
  "final_energy_ev_per_atom": -6.096,
  "lattice": [[4.7302, -2.5465, 0.0000], [4.7302, 2.5465, 0.0000], [-2.2961, 0.0000, 4.8451]],
  "species": ["V", "V", "Ag", "Ag", "O", "O", "O", "O"],
  "fractional_positions": [[0.1219, 0.1219, 0.3245], [0.8781, 0.8781, 0.6755], [0.2761, 0.4821, 0.0799], [0.5179, 0.7239, 0.9201], [0.1233, 0.4775, 0.4376], [0.5225, 0.8767, 0.5624], [0.8126, 0.1874, 0.0000], [0.9159, 0.0841, 0.5000]]
}



Entry 2:
{
  "formula": "VAgO2",
  "functional": "PBE+U",
  "state": "optimized geometry",
  "crystal_system": "orthorhombic",
  "final_energy_ev_per_atom": -6.250,
  "lattice": [[3.7512, 0.0000, 0.0000], [0.0000, 11.0159, 0.0000], [0.0000, 0.0000, 3.7293]],
  "species": ["V", "V", "Ag", "Ag", "O", "O", "O", "O"],
  "fractional_positions": [[0.0000, 0.0737, 0.0000], [0.5000, 0.9263, 0.5000], [0.0000, 0.5358, 0.0093], [0.5000, 0.4642, 0.5093], [0.0000, 0.2205, 0.9997], [0.0000, 0.9994, 0.5000], [0.5000, 0.0006, 0.0000], [0.5000, 0.7795, 0.4997]]
}



Entry 3:
{
  "formula": "V4Ag3O12",
  "functional": "PBE+U",
  "state": "optimized geometry",
  "crystal_system": "triclinic",
  "final_energy_ev_per_atom": -6.502,
  "lattice": [[7.2298, 0.0000, 0.0000], [3.4183, 8.2673, 0.0000], [1.4916, 2.1291, 8.6260]],
  "species": ["V", "V", "V", "V", "V", "V", "V", "V", "Ag", "Ag", "Ag", "Ag", "Ag", "Ag", "O", "O", "O", "O", "O", "O", "O", "O", "O", "O", "O", "O", "O", "O", "O", "O", "O", "O", "O", "O", "O", "O", "O", "O"],
  "fractional_positions": [[0.0000, 0.0000, 0.0000], [0.0114, 0.8059, 0.3809], [0.1120, 0.3356, 0.8980], [0.1298, 0.1385, 0.2717], [0.4984, 0.9961, 0.0048], [0.5147, 0.8054, 0.3822], [0.6168, 0.3326, 0.8941], [0.6310, 0.1360, 0.2706], [0.3105, 0.0655, 0.6410], [0.3888, 0.4462, 0.5544], [0.3906, 0.6080, 0.1229], [0.7362, 0.6920, 0.7243], [0.8168, 0.0665, 0.6390], [0.9010, 0.4399, 0.5309], [0.0523, 0.9649, 0.8214], [0.0662, 0.3253, 0.1441], [0.0771, 0.1811, 0.4511], [0.0823, 0.8068, 0.1267], [0.1189, 0.5935, 0.4110], [0.1685, 0.3101, 0.7012], [0.2160, 0.0666, 0.0203], [0.2407, 0.8682, 0.3524], [0.3830, 0.2809, 0.9312], [0.4157, 0.0696, 0.2517], [0.4815, 0.8322, 0.5721], [0.5476, 0.5410, 0.8692], [0.5500, 0.8031, 0.1255], [0.5511, 0.9625, 0.8231], [0.5628, 0.3307, 0.1486], [0.5776, 0.1715, 0.4505], [0.5998, 0.5933, 0.4153], [0.6649, 0.3130, 0.6985], [0.7136, 0.0624, 0.0236], [0.7472, 0.8612, 0.3277], [0.8891, 0.2623, 0.9331], [0.9152, 0.0697, 0.2554], [0.9381, 0.8287, 0.5701], [0.9931, 0.5417, 0.8646]]
}



Entry 4:
{
  "formula": "VAg5O6",
  "functional": "PBE+U",
  "state": "optimized geometry",
  "crystal_system": "triclinic",
  "final_energy_ev_per_atom": -4.797,
  "lattice": [[5.6011, 0.0000, 0.0000], [2.4366, 5.1000, 0.0000], [1.8101, -0.1066, 6.2878]],
  "species": ["V", "Ag", "Ag", "Ag", "Ag", "Ag", "O", "O", "O", "O", "O", "O"],
  "fractional_positions": [[0.0000, 0.0000, 0.0000], [0.1458, 0.7069, 0.4817], [0.3205, 0.3321, 0.0018], [0.5000, 0.0000, 0.5000], [0.6795, 0.6679, 0.9982], [0.8542, 0.2931, 0.5183], [0.0317, 0.7554, 0.8113], [0.2527, 0.6985, 0.1483], [0.3059, 0.0348, 0.8213], [0.6941, 0.9652, 0.1787], [0.7473, 0.3015, 0.8517], [0.9683, 0.2446, 0.1887]]
}



Entry 5:
{
  "formula": "VAgO2",
  "functional": "PBE+U",
  "state": "optimized geometry",
  "crystal_system": "orthorhombic",
  "final_energy_ev_per_atom": -6.246,
  "lattice": [[1.4022, -11.1010, 0.0000], [1.4022, 11.1010, 0.0000], [0.0000, 0.0000, 3.1142]],
  "species": ["V", "V", "Ag", "Ag", "O", "O", "O", "O"],
  "fractional_positions": [[0.1903, 0.8097, 0.7500], [0.8097, 0.1903, 0.2500], [0.4488, 0.5512, 0.7500], [0.5512, 0.4488, 0.2500], [0.2846, 0.7154, 0.7500], [0.3732, 0.6268, 0.2500], [0.6268, 0.3732, 0.7500], [0.7154, 0.2846, 0.2500]]
}



Entry 6:
{
  "formula": "VAgO2",
  "functional": "PBE+U",
  "state": "optimized geometry",
  "crystal_system": "monoclinic",
  "final_energy_ev_per_atom": -6.180,
  "lattice": [[7.3674, -1.4593, 0.0000], [7.3674, 1.4593, 0.0000], [-0.4683, 0.0000, 5.1680]],
  "species": ["V", "V", "Ag", "Ag", "O", "O", "O", "O"],
  "fractional_positions": [[0.0000, 0.0000, 0.0000], [0.5554, 0.5554, 0.5592], [0.2669, 0.2669, 0.9000], [0.8036, 0.8036, 0.4126], [0.1171, 0.1171, 0.7746], [0.4150, 0.4150, 0.0094], [0.5748, 0.5748, 0.2285], [0.9676, 0.9676, 0.5881]]
}



Entry 7:
{
  "formula": "V2Ag2O7",
  "functional": "PBE+U",
  "state": "optimized geometry",
  "crystal_system": "monoclinic",
  "relative_energy_mev_per_atom": 41,
  "final_energy_ev_per_atom": -6.155,
  "lattice": [[3.4963, -4.5354, 0.0000], [3.4963, 4.5354, 0.0000], [-0.6614, 0.0000, 5.0627]],
  "species": ["V", "V", "Ag", "Ag", "O", "O", "O", "O", "O", "O", "O"],
  "fractional_positions": [[0.2389, 0.2389, 0.4102], [0.7611, 0.7611, 0.5898], [0.3126, 0.6874, 0.0000], [0.6874, 0.3126, 0.0000], [0.0000, 0.0000, 0.5000], [0.0996, 0.4224, 0.2280], [0.3883, 0.3883, 0.7073], [0.4224, 0.0996, 0.2280], [0.5776, 0.9004, 0.7720], [0.6117, 0.6117, 0.2927], [0.9004, 0.5776, 0.7720]]
}



Entry 8:
{
  "formula": "VAgO2",
  "functional": "PBE+U",
  "state": "optimized geometry",
  "crystal_system": "monoclinic",
  "final_energy_ev_per_atom": -6.176,
  "lattice": [[3.3170, 0.0000, 0.0000], [0.0000, 3.3070, 0.0000], [-0.0864, 0.0000, 5.4015]],
  "species": ["V", "Ag", "O", "O"],
  "fractional_positions": [[0.0000, 0.0000, 0.0000], [0.5732, 0.5000, 0.5026], [0.0279, 0.5000, 0.1871], [0.5010, 0.0000, 0.8138]]
}



Entry 9:
{
  "formula": "V3Ag2O9",
  "functional": "PBE+U",
  "state": "optimized geometry",
  "crystal_system": "monoclinic",
  "final_energy_ev_per_atom": -6.466,
  "lattice": [[4.5073, -6.4647, 0.0000], [4.5073, 6.4647, 0.0000], [-4.0468, 0.0000, 7.0362]],
  "species": ["V", "V", "V", "V", "V", "V", "Ag", "Ag", "Ag", "Ag", "O", "O", "O", "O", "O", "O", "O", "O", "O", "O", "O", "O", "O", "O", "O", "O", "O", "O"],
  "fractional_positions": [[0.0845, 0.8331, 0.7746], [0.1669, 0.9155, 0.2254], [0.2994, 0.2994, 0.1021], [0.7006, 0.7006, 0.8979], [0.8331, 0.0845, 0.7746], [0.9155, 0.1669, 0.2254], [0.1557, 0.4455, 0.7044], [0.4455, 0.1557, 0.7044], [0.5545, 0.8443, 0.2956], [0.8443, 0.5545, 0.2956], [0.0672, 0.0672, 0.3469], [0.0992, 0.2987, 0.9017], [0.1375, 0.6991, 0.6158], [0.1557, 0.3457, 0.2388], [0.1903, 0.8097, 0.0000], [0.2987, 0.0992, 0.9017], [0.3009, 0.8625, 0.3842], [0.3457, 0.1557, 0.2388], [0.4870, 0.4870, 0.8052], [0.5130, 0.5130, 0.1948], [0.6543, 0.8443, 0.7612], [0.6991, 0.1375, 0.6158], [0.7013, 0.9008, 0.0983], [0.8097, 0.1903, 0.0000], [0.8443, 0.6543, 0.7612], [0.8625, 0.3009, 0.3842], [0.9008, 0.7013, 0.0983], [0.9328, 0.9328, 0.6531]]
}



Entry 10:
{
  "formula": "VAgO2",
  "functional": "PBE+U",
  "state": "optimized geometry",
  "crystal_system": "triclinic",
  "final_energy_ev_per_atom": -6.393,
  "lattice": [[3.0136, 0.0000, 0.0000], [-0.0003, 3.7416, 0.0000], [-0.0500, -0.0257, 9.6371]],
  "species": ["V", "V", "Ag", "Ag", "O", "O", "O", "O"],
  "fractional_positions": [[0.0000, 0.0000, 0.0000], [0.4560, 0.4985, 0.7790], [0.4503, 0.4965, 0.3186], [0.9530, 0.9973, 0.4853], [0.4506, 0.0008, 0.1194], [0.4525, 0.9989, 0.8457], [0.9544, 0.4976, 0.6546], [0.9576, 0.4996, 0.9429]]
}



Entry 11:
{
  "formula": "V5Ag3O12",
  "functional": "PBE+U",
  "state": "optimized geometry",
  "crystal_system": "cubic",
  "final_energy_ev_per_atom": -6.766,
  "lattice": [[-6.3627, 6.3627, 6.3627], [6.3627, -6.3627, 6.3627], [6.3627, 6.3627, -6.3627]],
  "species": ["V", "V", "V", "V", "V", "V", "V", "V", "V", "V", "V", "V", "V", "V", "V", "V", "V", "V", "V", "V", "Ag", "Ag", "Ag", "Ag", "Ag", "Ag", "Ag", "Ag", "Ag", "Ag", "Ag", "Ag", "O", "O", "O", "O", "O", "O", "O", "O", "O", "O", "O", "O", "O", "O", "O", "O", "O", "O", "O", "O", "O", "O", "O", "O", "O", "O", "O", "O", "O", "O", "O", "O", "O", "O", "O", "O", "O", "O", "O", "O", "O", "O", "O", "O", "O", "O", "O", "O"],
  "fractional_positions": [[0.0000, 0.0000, 0.0000], [0.0000, 0.0000, 0.5000], [0.0000, 0.5000, 0.0000], [0.0000, 0.5000, 0.5000], [0.1250, 0.7500, 0.8750], [0.1250, 0.8750, 0.2500], [0.2500, 0.1250, 0.8750], [0.2500, 0.6250, 0.3750], [0.3750, 0.2500, 0.6250], [0.3750, 0.6250, 0.7500], [0.5000, 0.0000, 0.0000], [0.5000, 0.0000, 0.5000], [0.5000, 0.5000, 0.0000], [0.5000, 0.5000, 0.5000], [0.6250, 0.3750, 0.2500], [0.6250, 0.7500, 0.3750], [0.7500, 0.3750, 0.6250], [0.7500, 0.8750, 0.1250], [0.8750, 0.1250, 0.7500], [0.8750, 0.2500, 0.1250], [0.1250, 0.2500, 0.3750], [0.1250, 0.3750, 0.7500], [0.2500, 0.3750, 0.1250], [0.2500, 0.8750, 0.6250], [0.3750, 0.1250, 0.2500], [0.3750, 0.7500, 0.1250], [0.6250, 0.2500, 0.8750], [0.6250, 0.8750, 0.7500], [0.7500, 0.1250, 0.3750], [0.7500, 0.6250, 0.8750], [0.8750, 0.6250, 0.2500], [0.8750, 0.7500, 0.6250], [0.0018, 0.1932, 0.1053], [0.0018, 0.3087, 0.8966], [0.0879, 0.6932, 0.6913], [0.0879, 0.8947, 0.3966], [0.1034, 0.6053, 0.4121], [0.1034, 0.9982, 0.6913], [0.1053, 0.0018, 0.1932], [0.1053, 0.6034, 0.9121], [0.1913, 0.1932, 0.5879], [0.1913, 0.4982, 0.6034], [0.1932, 0.1053, 0.0018], [0.1932, 0.5879, 0.1913], [0.3068, 0.3087, 0.9121], [0.3068, 0.4982, 0.3947], [0.3087, 0.8966, 0.0018], [0.3087, 0.9121, 0.3068], [0.3947, 0.3068, 0.4982], [0.3947, 0.5879, 0.8966], [0.3966, 0.0879, 0.8947], [0.3966, 0.8087, 0.5018], [0.4121, 0.1034, 0.6053], [0.4121, 0.8087, 0.8068], [0.4982, 0.3947, 0.3068], [0.4982, 0.6034, 0.1913], [0.5018, 0.3966, 0.8087], [0.5018, 0.6053, 0.6932], [0.5879, 0.1913, 0.1932], [0.5879, 0.8966, 0.3947], [0.6034, 0.1913, 0.4982], [0.6034, 0.9121, 0.1053], [0.6053, 0.4121, 0.1034], [0.6053, 0.6932, 0.5018], [0.6913, 0.0879, 0.6932], [0.6913, 0.1034, 0.9982], [0.6932, 0.5018, 0.6053], [0.6932, 0.6913, 0.0879], [0.8068, 0.4121, 0.8087], [0.8068, 0.8947, 0.9982], [0.8087, 0.5018, 0.3966], [0.8087, 0.8068, 0.4121], [0.8947, 0.3966, 0.0879], [0.8947, 0.9982, 0.8068], [0.8966, 0.0018, 0.3087], [0.8966, 0.3947, 0.5879], [0.9121, 0.1053, 0.6034], [0.9121, 0.3068, 0.3087], [0.9982, 0.6913, 0.1034], [0.9982, 0.8068, 0.8947]]
}



Entry 12:
{
  "formula": "VAgO2",
  "functional": "PBE+U",
  "state": "optimized geometry",
  "crystal_system": "tetragonal",
  "final_energy_ev_per_atom": -6.217,
  "lattice": [[-2.5423, 2.5423, 4.6159], [2.5423, -2.5423, 4.6159], [2.5423, 2.5423, -4.6159]],
  "species": ["V", "V", "Ag", "Ag", "O", "O", "O", "O"],
  "fractional_positions": [[0.0000, 0.0000, 0.0000], [0.7500, 0.2500, 0.5000], [0.2500, 0.7500, 0.5000], [0.5000, 0.5000, 0.0000], [0.0481, 0.6250, 0.9231], [0.3750, 0.2981, 0.4231], [0.7019, 0.1250, 0.0769], [0.8750, 0.9519, 0.5769]]
}



Entry 13:
{
  "formula": "VAgO2",
  "functional": "PBE+U",
  "state": "optimized geometry",
  "crystal_system": "monoclinic",
  "final_energy_ev_per_atom": -6.062,
  "lattice": [[4.1155, 0.0000, 0.0000], [0.0000, 2.9402, 0.0000], [-0.0274, 0.0000, 5.3082]],
  "species": ["V", "Ag", "O", "O"],
  "fractional_positions": [[0.0000, 0.0000, 0.0000], [0.5000, 0.5000, 0.5000], [0.1622, 0.5000, 0.7971], [0.8378, 0.5000, 0.2029]]
}



Entry 14:
{
  "formula": "VAgO2",
  "functional": "PBE+U",
  "state": "optimized geometry",
  "crystal_system": "cubic",
  "final_energy_ev_per_atom": -5.542,
  "lattice": [[0.0000, 2.8030, 2.8030], [2.8030, 0.0000, 2.8030], [2.8030, 2.8030, 0.0000]],
  "species": ["V", "Ag", "O", "O"],
  "fractional_positions": [[0.0000, 0.0000, 0.0000], [0.5000, 0.5000, 0.5000], [0.2500, 0.2500, 0.2500], [0.7500, 0.7500, 0.7500]]
}



Entry 15:
{
  "formula": "VAgO2",
  "functional": "PBE+U",
  "state": "optimized geometry",
  "crystal_system": "triclinic",
  "final_energy_ev_per_atom": -6.073,
  "lattice": [[2.8326, 0.0000, 0.0000], [-0.0001, 2.8329, 0.0000], [-0.4474, -0.8501, 8.1677]],
  "species": ["V", "Ag", "O", "O"],
  "fractional_positions": [[0.0000, 0.0000, 0.0000], [0.9191, 0.8475, 0.4826], [0.5091, 0.5175, 0.0585], [0.9688, 0.9406, 0.8022]]
}



Entry 16:
{
  "formula": "VAgO2",
  "functional": "PBE+U",
  "state": "optimized geometry",
  "crystal_system": "monoclinic",
  "final_energy_ev_per_atom": -6.205,
  "lattice": [[1.4318, -2.4772, 0.0000], [1.4318, 2.4772, 0.0000], [-0.0145, 0.0000, 6.7556]],
  "species": ["V", "Ag", "O", "O"],
  "fractional_positions": [[0.0000, 0.0000, 0.0000], [0.6660, 0.3340, 0.5000], [0.6656, 0.3322, 0.8275], [0.6678, 0.3344, 0.1725]]
}



Entry 17:
{
  "formula": "VAg3O",
  "functional": "PBE+U",
  "state": "optimized geometry",
  "crystal_system": "cubic",
  "relative_energy_mev_per_atom": 1161,
  "final_energy_ev_per_atom": -2.502,
  "lattice": [[5.0721, 0.0000, 0.0000], [0.0000, 5.0721, 0.0000], [0.0000, 0.0000, 5.0721]],
  "species": ["V", "Ag", "Ag", "Ag", "O"],
  "fractional_positions": [[0.0000, 0.0000, 0.0000], [0.0000, 0.0000, 0.5000], [0.0000, 0.5000, 0.0000], [0.5000, 0.0000, 0.0000], [0.5000, 0.5000, 0.5000]]
}



Entry 18:
{
  "formula": "V4Ag2O11",
  "functional": "PBE+U",
  "state": "optimized geometry",
  "crystal_system": "monoclinic",
  "final_energy_ev_per_atom": -6.813,
  "lattice": [[7.7794, -1.8081, 0.0000], [7.7794, 1.8081, 0.0000], [-5.7644, 0.0000, 7.6507]],
  "species": ["V", "V", "V", "V", "Ag", "Ag", "O", "O", "O", "O", "O", "O", "O", "O", "O", "O", "O"],
  "fractional_positions": [[0.1351, 0.1351, 0.4239], [0.3544, 0.3544, 0.8484], [0.6456, 0.6456, 0.1516], [0.8649, 0.8649, 0.5761], [0.3828, 0.3828, 0.2724], [0.6172, 0.6172, 0.7276], [0.0025, 0.0025, 0.3199], [0.1509, 0.1509, 0.2187], [0.1852, 0.1852, 0.6467], [0.3240, 0.3240, 0.9853], [0.3346, 0.3346, 0.5895], [0.5000, 0.5000, 0.0000], [0.6654, 0.6654, 0.4105], [0.6760, 0.6760, 0.0147], [0.8148, 0.8148, 0.3533], [0.8491, 0.8491, 0.7813], [0.9975, 0.9975, 0.6801]]
}